Here is a geometry-optimized Ca2HoMn4BiO12 structure from Alexandria. Energies are from PBE with a Hubbard U.

a b c (Å): 5.3861 7.6329 5.5668
angles (deg): 90.00 90.19 90.00
With the nearest neighbours (Å) after each atom.
Space group Pm (No. 6)
Unique sites:
Ca 0.0000 0.0000 0.0000 [1 per cell]  6 O 2.34-2.57
Ca 0.4996 0.5000 0.3972 [1 per cell]  6 O 2.34-2.61
Ho 0.4728 0.0000 0.5096 [1 per cell]  6 O 2.27-2.45
Mn 0.4875 0.2470 0.9507 [2 per cell]  6 O 1.96-2.03
Mn 0.9882 0.2472 0.4444 [2 per cell]  6 O 1.97-2.00
Bi 0.9737 0.5000 0.8906 [1 per cell]  6 O 2.34-2.57
O 0.0721 0.5000 0.4710 [1 per cell]  2 Mn 1.99
O 0.1997 0.1981 0.7334 [2 per cell]  2 Mn 2.00
O 0.2901 0.1974 0.2484 [2 per cell]  2 Mn 2.00-2.01
O 0.3994 0.5000 0.9748 [1 per cell]  2 Mn 1.99
O 0.5750 0.0000 0.9125 [1 per cell]  2 Mn 1.96
O 0.6923 0.2905 0.6518 [2 per cell]  2 Mn 2.00-2.03
O 0.7877 0.2927 0.1502 [2 per cell]  2 Mn 1.99
O 0.8844 0.0000 0.4203 [1 per cell]  2 Mn 1.97

- density of states at the Fermi level (states/eV/cell) = 3.62
- E (eV/atom) = -7.15